Entry 1:
DFT (GGA-PBEsol) results for a relaxed ZrMo2Ir crystal.

Summary:
Relative energy among the computed polymorphs ... 0.116 eV/atom
Raw total energy ... -10.686 eV per atom

Lattice parameters (Å, degrees): 2.769 2.769 8.542 90.00 90.00 90.00
Space group P4mm (No. 99)
One atom of each set of equivalent atoms:
Zr1 0.000 0.000 0.000 x1
Mo1 0.000 0.000 0.458 x1
Mo2 0.500 0.500 0.717 x1
Ir1 0.500 0.500 0.251 x1

Entry 2:
DFT (GGA-PBEsol) results for a relaxed TlI3F crystal.

Summary:
Raw total energy ... -1.872 eV per atom
Raw formation energy ... 0.0996 eV/atom

Lattice parameters (Å, degrees): 5.878 5.878 5.878 90.00 90.00 90.00
Space group Pm-3m (No. 221)
One atom of each set of equivalent atoms:
Tl1 0.000 0.000 0.000 x1
I1 0.000 0.000 0.500 x3
F1 0.500 0.500 0.500 x1

Entry 3:
DFT (GGA-PBEsol) results for a relaxed La2CdCo crystal.

Summary:
Raw total energy ... -5.000 eV per atom

Lattice parameters (Å, degrees): 3.726 4.839 11.122 90.00 90.00 90.00
Space group Amm2 (No. 38)
One atom of each set of equivalent atoms:
La1 0.000 0.000 0.000 x2
La2 0.500 0.000 0.313 x2
Cd1 0.000 0.000 0.697 x2
Co1 0.500 0.000 0.519 x2

Entry 4:
DFT (GGA-PBEsol) results for a relaxed LiAl2F crystal.

Summary:
Raw total energy ... -3.513 eV per atom
Raw formation energy ... -0.4934 eV/atom

Lattice parameters (Å, degrees): 4.729 4.729 14.066 90.00 90.00 90.00
Space group I-42d (No. 122)
One atom of each set of equivalent atoms:
Li1 0.000 0.000 0.000 x4
Al1 0.104 0.250 0.625 x8
F1 0.000 0.000 0.500 x4